Entry 1:
The following is a PBE calculation of a relaxed In3C5 crystal, from Alexandria. Values from VASP.

ΔH_f (0 K) in eV/atom: 1.46
Space group: No. 193
Raw total energy in eV/atom: -5.336
Energy above the most stable polymorph in this dataset in meV per atom: 0

Cell and atoms, written as Quantum ESPRESSO input:
```
&SYSTEM
  ibrav = 0, nat = 16, ntyp = 2
/
ATOMIC_SPECIES
C 12.01 C.upf
In 114.82 In.upf
CELL_PARAMETERS angstrom
6.711 0.000 0.000
-3.355 5.812 0.000
0.000 0.000 6.035
ATOMIC_POSITIONS crystal
C 0.880 0.880 0.750
In 0.000 0.447 0.750
In 0.000 0.553 0.250
C 0.120 0.120 0.250
C 0.120 0.000 0.750
C 0.333 0.667 0.000
C 0.667 0.333 0.000
C 0.667 0.333 0.500
C 0.000 0.880 0.250
C 0.880 0.000 0.250
In 0.447 0.000 0.750
C 0.333 0.667 0.500
In 0.447 0.447 0.250
In 0.553 0.553 0.750
In 0.553 0.000 0.250
C 0.000 0.120 0.750
```



Entry 2:
The following is a PBE calculation of a relaxed KTl3Pd3 crystal, from Alexandria. Values from VASP.

ΔH_f (0 K) in eV/atom: 0.04
Space group: No. 223
Raw total energy in eV/atom: -3.354
Energy above the most stable polymorph in this dataset in meV per atom: 173

Cell and atoms, written as Quantum ESPRESSO input:
```
&SYSTEM
  ibrav = 0, nat = 14, ntyp = 3
/
ATOMIC_SPECIES
Pd 106.42 Pd.upf
Tl 204.38 Tl.upf
K 39.10 K.upf
CELL_PARAMETERS angstrom
7.620 0.000 0.000
0.000 7.620 0.000
0.000 0.000 7.620
ATOMIC_POSITIONS crystal
Pd 0.000 0.250 0.500
Pd 0.500 0.000 0.750
Tl 0.500 0.250 0.000
Pd 0.500 0.000 0.250
Pd 0.000 0.750 0.500
Tl 0.750 0.000 0.500
Tl 0.250 0.000 0.500
Pd 0.750 0.500 0.000
Pd 0.250 0.500 0.000
Tl 0.000 0.500 0.750
Tl 0.000 0.500 0.250
K 0.500 0.500 0.500
Tl 0.500 0.750 0.000
K 0.000 0.000 0.000
```



Question: Among the records above, which one has the highest ΔH_f (0 K)?
Answer: In3C5



Please write out number 1 again, unchanged.
The following is a PBE calculation of a relaxed In3C5 crystal, from Alexandria. Values from VASP.

ΔH_f (0 K) in eV/atom: 1.46
Space group: No. 193
Raw total energy in eV/atom: -5.336
Energy above the most stable polymorph in this dataset in meV per atom: 0

Cell and atoms, written as Quantum ESPRESSO input:
```
&SYSTEM
  ibrav = 0, nat = 16, ntyp = 2
/
ATOMIC_SPECIES
C 12.01 C.upf
In 114.82 In.upf
CELL_PARAMETERS angstrom
6.711 0.000 0.000
-3.355 5.812 0.000
0.000 0.000 6.035
ATOMIC_POSITIONS crystal
C 0.880 0.880 0.750
In 0.000 0.447 0.750
In 0.000 0.553 0.250
C 0.120 0.120 0.250
C 0.120 0.000 0.750
C 0.333 0.667 0.000
C 0.667 0.333 0.000
C 0.667 0.333 0.500
C 0.000 0.880 0.250
C 0.880 0.000 0.250
In 0.447 0.000 0.750
C 0.333 0.667 0.500
In 0.447 0.447 0.250
In 0.553 0.553 0.750
In 0.553 0.000 0.250
C 0.000 0.120 0.750
```



Question: What is the raw total energy in the second record?
Answer: -3.354 eV/atom